Record 1
{"formula": "Er5Fe2Te2", "functional": "PBE-GGA", "state": "optimized geometry", "cell": [[7.8476, -3.7842, 0.0000], [7.8476, 3.7842, 0.0000], [0.0000, 0.0000, 7.5238]], "species": ["Er", "Er", "Er", "Er", "Er", "Er", "Er", "Er", "Er", "Er", "Fe", "Fe", "Fe", "Fe", "Te", "Te", "Te", "Te"], "frac_coords": [[0.0000, 0.0000, 0.0000], [0.0512, 0.7115, 0.6687], [0.2115, 0.5512, 0.1687], [0.2885, 0.9488, 0.6687], [0.4488, 0.7885, 0.1687], [0.5000, 0.5000, 0.5000], [0.5512, 0.2115, 0.8313], [0.7115, 0.0512, 0.3313], [0.7885, 0.4488, 0.8313], [0.9488, 0.2885, 0.3313], [0.1096, 0.8904, 0.3933], [0.3904, 0.6096, 0.8933], [0.6096, 0.3904, 0.1067], [0.8904, 0.1096, 0.6067], [0.2120, 0.2120, 0.0000], [0.2880, 0.2880, 0.5000], [0.7120, 0.7120, 0.5000], [0.7880, 0.7880, 0.0000]], "formation_energy_uncorrected_ev_per_atom": -0.592}

Record 2
{"formula": "Li3U2CoSe6", "functional": "PBE-GGA", "state": "optimized geometry", "cell": [[3.3419, -5.7960, 0.0000], [3.3419, 5.7960, 0.0000], [-2.2294, 0.0000, 6.5771]], "species": ["Li", "Li", "Li", "U", "U", "Co", "Se", "Se", "Se", "Se", "Se", "Se"], "frac_coords": [[0.0000, 0.0000, 0.0000], [0.3302, 0.6698, 0.0000], [0.6698, 0.3302, 0.0000], [0.1668, 0.8332, 0.5000], [0.8332, 0.1668, 0.5000], [0.5000, 0.5000, 0.5000], [0.1017, 0.4166, 0.2496], [0.2688, 0.2688, 0.7471], [0.4166, 0.1017, 0.2496], [0.5834, 0.8983, 0.7504], [0.7312, 0.7312, 0.2529], [0.8983, 0.5834, 0.7504]], "formation_energy_uncorrected_ev_per_atom": -0.993}

Record 3
{"formula": "NiAg2As", "functional": "PBE-GGA", "state": "optimized geometry", "cell": [[3.8772, 0.0000, 0.0000], [0.0000, 3.8772, 0.0000], [0.0000, 0.0000, 4.2917]], "species": ["Ni", "Ag", "Ag", "As"], "frac_coords": [[0.0000, 0.0000, 0.0000], [0.0000, 0.5000, 0.5000], [0.5000, 0.0000, 0.5000], [0.5000, 0.5000, 0.0000]], "e_form_ev_per_atom": 0.201}

Record 4
{"formula": "AcZn3Pt", "functional": "PBE-GGA", "state": "optimized geometry", "cell": [[0.0000, 3.0211, 5.7345], [3.0066, 0.0000, 5.7345], [3.0066, 3.0211, 0.0000]], "species": ["Ac", "Zn", "Zn", "Zn", "Pt"], "frac_coords": [[0.0000, 0.0000, 0.0000], [0.2565, 0.2565, 0.2435], [0.6241, 0.6241, 0.3759], [0.7565, 0.7565, 0.7435], [0.3964, 0.3964, 0.6036]], "e_form_ev_per_atom": -0.575}

Record 5
{"formula": "Ho4MgTl7", "functional": "PBE-GGA", "state": "optimized geometry", "cell": [[7.2988, -2.6925, 0.0000], [7.2988, 2.6925, 0.0000], [-6.6726, 0.0000, 9.0349]], "species": ["Ho", "Ho", "Ho", "Ho", "Mg", "Tl", "Tl", "Tl", "Tl", "Tl", "Tl", "Tl"], "frac_coords": [[0.0802, 0.0802, 0.2898], [0.2100, 0.2100, 0.8367], [0.7900, 0.7900, 0.1633], [0.9198, 0.9198, 0.7102], [0.5000, 0.5000, 0.5000], [0.0000, 0.0000, 0.5000], [0.1374, 0.1374, 0.0645], [0.2826, 0.2826, 0.6249], [0.4258, 0.4258, 0.1778], [0.5742, 0.5742, 0.8222], [0.7174, 0.7174, 0.3751], [0.8626, 0.8626, 0.9355]], "e_form_ev_per_atom": -0.084}

Record 6
{"formula": "Ca2PuVN4", "functional": "PBE-GGA", "state": "optimized geometry", "cell": [[5.6094, 0.0000, 0.0000], [0.0000, 3.3447, 0.0000], [-1.7890, 0.0000, 5.5361]], "species": ["Ca", "Ca", "Pu", "V", "N", "N", "N", "N"], "frac_coords": [[0.0000, 0.0000, 0.0000], [0.5000, 0.5000, 0.0000], [0.0000, 0.5000, 0.5000], [0.5000, 0.0000, 0.5000], [0.2548, 0.0000, 0.7102], [0.2692, 0.5000, 0.2927], [0.7308, 0.5000, 0.7073], [0.7452, 0.0000, 0.2898]], "formation_energy_uncorrected_ev_per_atom": -1.054}

Record 7
{"formula": "Ag4Pt3Au2", "functional": "PBE-GGA", "state": "optimized geometry", "cell": [[0.0000, 4.6370, 12.8457], [2.6779, 0.0000, 12.8457], [2.6779, 4.6370, 0.0000]], "species": ["Ag", "Ag", "Ag", "Ag", "Ag", "Ag", "Ag", "Ag", "Pt", "Pt", "Pt", "Pt", "Pt", "Pt", "Au", "Au", "Au", "Au"], "frac_coords": [[0.1325, 0.3034, 0.8136], [0.1864, 0.7495, 0.8675], [0.2505, 0.8136, 0.3034], [0.3034, 0.1325, 0.2505], [0.6966, 0.8675, 0.7495], [0.7495, 0.1864, 0.6966], [0.8136, 0.2505, 0.1325], [0.8675, 0.6966, 0.1864], [0.1156, 0.1156, 0.6344], [0.1250, 0.1250, 0.1250], [0.3656, 0.3656, 0.8844], [0.6344, 0.6344, 0.1156], [0.8750, 0.8750, 0.8750], [0.8844, 0.8844, 0.3656], [0.3193, 0.3193, 0.4307], [0.4307, 0.4307, 0.3193], [0.5693, 0.5693, 0.6807], [0.6807, 0.6807, 0.5693]], "e_form_ev_per_atom": 0.102}

Record 8
{"formula": "Dy2ScBi", "functional": "PBE-GGA", "state": "optimized geometry", "cell": [[4.7479, 0.0000, 0.0000], [0.0000, 4.7479, 0.0000], [0.0000, 0.0000, 4.8000]], "species": ["Dy", "Dy", "Sc", "Bi"], "frac_coords": [[0.0000, 0.5000, 0.0000], [0.5000, 0.0000, 0.0000], [0.0000, 0.0000, 0.5000], [0.5000, 0.5000, 0.5000]], "e_form_ev_per_atom": -0.315}

Record 9
{"formula": "Tl2Hg2Bi3", "functional": "PBE-GGA", "state": "optimized geometry", "cell": [[5.5030, 0.0000, 0.0000], [0.0000, 3.4202, 0.0000], [-2.5828, 0.0000, 11.5720]], "species": ["Tl", "Tl", "Hg", "Hg", "Bi", "Bi", "Bi"], "frac_coords": [[0.1444, 0.0000, 0.2772], [0.8556, 0.0000, 0.7228], [0.4294, 0.5000, 0.8587], [0.5706, 0.5000, 0.1413], [0.0000, 0.5000, 0.0000], [0.2874, 0.5000, 0.5759], [0.7126, 0.5000, 0.4241]], "e_form_ev_per_atom": 0.009}

Record 10
{"formula": "ScCd2In", "functional": "PBE-GGA", "state": "optimized geometry", "cell": [[-4.0542, 4.0542, 3.0294], [4.0542, -4.0542, 3.0294], [4.0542, 4.0542, -3.0294]], "species": ["Sc", "Sc", "Cd", "Cd", "Cd", "Cd", "In", "In"], "frac_coords": [[0.0000, 0.0000, 0.0000], [0.7500, 0.2500, 0.5000], [0.1338, 0.6250, 0.0088], [0.3750, 0.3838, 0.5088], [0.6162, 0.1250, 0.9912], [0.8750, 0.8662, 0.4912], [0.2500, 0.7500, 0.5000], [0.5000, 0.5000, 0.0000]], "e_form_ev_per_atom": 0.009}

Record 11
{"formula": "NaCeHo2Te4", "functional": "PBE-GGA", "state": "optimized geometry", "cell": [[7.6720, 0.0000, 0.0000], [0.0000, 4.3791, 0.0000], [-2.5053, 0.0000, 7.3215]], "species": ["Na", "Ce", "Ho", "Ho", "Te", "Te", "Te", "Te"], "frac_coords": [[0.0000, 0.0000, 0.0000], [0.5000, 0.5000, 0.0000], [0.0000, 0.5000, 0.5000], [0.5000, 0.0000, 0.5000], [0.2430, 0.0000, 0.7394], [0.2518, 0.5000, 0.2611], [0.7482, 0.5000, 0.7389], [0.7570, 0.0000, 0.2606]], "formation_energy_uncorrected_ev_per_atom": -1.305}